Below is NdDyZn2Sn2 after structural relaxation, with properties calculated at the PBE level.

a = 4.555 Å, b = 4.555 Å, c = 16.093 Å
α = 90.00°, β = 90.00°, γ = 120.00°
Fractional coordinates of all 12 atoms:
Sn1 0.333 0.667 0.388
Sn2 0.667 0.333 0.612
Sn3 0.667 0.333 0.888
Sn4 0.333 0.667 0.112
Zn1 0.667 0.333 0.345
Zn2 0.333 0.667 0.845
Zn3 0.333 0.667 0.655
Zn4 0.667 0.333 0.155
Dy1 0.000 0.000 0.500
Dy2 0.000 0.000 0.000
Nd1 0.000 0.000 0.250
Nd2 0.000 0.000 0.750

Values from the calculation:
ΔE to the lowest computed polymorph: 0.120 eV per formula unit
SG: P6_3/mmc (194)

Below is K2HgAsBr6 after structural relaxation, with properties calculated at the PBE level.

a = 7.904 Å, b = 7.904 Å, c = 7.904 Å
α = 60.00°, β = 60.00°, γ = 60.00°
Fractional coordinates of all 10 atoms:
Br1 0.761 0.239 0.239
Br2 0.239 0.239 0.761
Br3 0.239 0.761 0.761
Br4 0.761 0.239 0.761
Br5 0.761 0.761 0.239
Br6 0.239 0.761 0.239
K1 0.750 0.750 0.750
K2 0.250 0.250 0.250
Hg1 0.500 0.500 0.500
As1 0.000 0.000 0.000

Values from the calculation:
E: -2.6044 eV/atom
SG: Fm-3m (225)

Below is Zr4TlN3 after structural relaxation, with properties calculated at the PBE level.

a = 3.280 Å, b = 3.280 Å, c = 25.624 Å
α = 90.00°, β = 90.00°, γ = 120.00°
Fractional coordinates of all 16 atoms:
Zr1 0.000 0.000 0.348
Zr2 0.333 0.667 0.447
Zr3 0.000 0.000 0.848
Zr4 0.000 0.000 0.652
Zr5 0.000 0.000 0.152
Zr6 0.333 0.667 0.053
Zr7 0.667 0.333 0.553
Zr8 0.667 0.333 0.947
N1 0.000 0.000 0.500
N2 0.333 0.667 0.604
N3 0.333 0.667 0.896
N4 0.000 0.000 0.000
N5 0.667 0.333 0.104
N6 0.667 0.333 0.396
Tl1 0.667 0.333 0.750
Tl2 0.333 0.667 0.250

Values from the calculation:
E: -9.0249 eV/atom
SG: P6_3/mmc (194)

Below is SmSbPb after structural relaxation, with properties calculated at the PBE level.

a = 8.427 Å, b = 8.427 Å, c = 4.406 Å
α = 90.00°, β = 90.00°, γ = 120.00°
Fractional coordinates of all 9 atoms:
Sb1 0.595 0.000 0.500
Sb2 0.405 0.405 0.500
Sb3 0.000 0.595 0.500
Pb1 0.741 0.741 0.000
Pb2 0.259 0.000 0.000
Pb3 0.000 0.259 0.000
Sm1 0.667 0.333 0.000
Sm2 0.000 0.000 0.500
Sm3 0.333 0.667 0.000

Values from the calculation:
ΔE to the lowest computed polymorph: 0.000 eV per formula unit
SG: P-62m (189)